(1)
Compound: GdUN2
Source: the Alexandria database
Functional: PBEsol
Structure: optimized geometry

The calculation puts the energy relative to the elements, uncorrected at -6.37 eV/f.u. For the size of the total moment, the calculation gives 7.81 μB/f.u.

abc: 3.4256 3.4256 5.9561
angles: 73.29 73.29 60.00
With the nearest neighbours (Å) after each atom.
Atoms (fractional coordinates):
1 Gd 0.5000 0.5000 0.5000  6 N 2.50
2 U 0.0000 0.0000 0.0000  6 N 2.35
3 N 0.2578 0.2578 0.2267  3 U 2.35, 3 Gd 2.50
4 N 0.7422 0.7422 0.7733  3 U 2.35, 3 Gd 2.50

---

(2)
Compound: Na3GdTi2Nb2O12
Source: the Alexandria database
Functional: PBEsol
Structure: optimized geometry

The calculation puts the energy relative to the elements, uncorrected at -54.70 eV/f.u. For the size of the total moment, the calculation gives 6.93 μB/f.u.

abc: 5.4100 5.5228 7.7234
angles: 89.99 89.95 89.48
With the nearest neighbours (Å) after each atom.
Atoms (fractional coordinates):
1 Na 0.4988 0.5239 0.7485  4 O 2.32-2.55
2 Na 0.9954 0.0038 0.7516  3 O 2.35-2.36
3 Na 0.5104 0.4624 0.2503  8 O 2.39-2.67
4 Gd 0.9919 0.9409 0.2504  8 O 2.33-2.49
5 Ti 0.4921 0.9852 0.0058  6 O 1.87-2.10
6 Ti 0.0060 0.4805 0.4969  4 O 1.85-1.97
7 Nb 0.4950 0.9939 0.5101  6 O 1.92-2.11
8 Nb 0.0055 0.4807 0.9898  5 O 1.89-2.10
9 O 0.5622 0.9811 0.7542  1 Nb 1.92, 1 Ti 1.98
10 O 0.9265 0.4991 0.7457  1 Nb 1.94, 1 Ti 1.97
11 O 0.4112 0.0315 0.2473  1 Ti 1.93, 1 Nb 2.09
12 O 0.0728 0.5246 0.2520  1 Ti 1.94, 1 Nb 2.07
13 O 0.2023 0.8062 0.9803  1 Ti 1.87
14 O 0.2941 0.3054 0.5355  1 Ti 1.85, 1 Nb 2.04
15 O 0.8021 0.2119 0.4536  1 Ti 1.89, 1 Nb 2.11
16 O 0.7168 0.7309 0.0502  1 Ti 1.88
17 O 0.7987 0.2071 0.0466  1 Nb 1.94, 1 Ti 2.10
18 O 0.7204 0.7284 0.4491  1 Nb 1.96, 1 Ti 2.09
19 O 0.1975 0.8044 0.5209  1 Nb 1.93, 1 Ti 2.08
20 O 0.3003 0.2980 0.9613  1 Nb 1.89, 1 Ti 2.04

---

(3)
Compound: Na5GdO4
Source: the Alexandria database
Functional: PBEsol
Structure: optimized geometry

The calculation puts the energy relative to the elements, uncorrected at -17.67 eV/f.u. For the size of the total moment, the calculation gives 6.91 μB/f.u. The calculation puts the energy above the most stable polymorph in this dataset at 0 meV per atom.

abc: 5.5198 7.5115 7.8391
angles: 90.00 90.00 90.00
With the nearest neighbours (Å) after each atom.
Atoms (fractional coordinates):
1 Na 0.2540 0.7597 0.8085  3 O 2.29-2.44
2 Na 0.2540 0.2403 0.8085  3 O 2.29-2.44
3 Na 0.7876 0.5000 0.0000  4 O 2.31-2.41
4 Na 0.2540 0.2403 0.1915  3 O 2.29-2.44
5 Na 0.2540 0.7597 0.1915  3 O 2.29-2.44
6 Na 0.7460 0.2597 0.3085  3 O 2.29-2.44
7 Na 0.7460 0.7403 0.3085  3 O 2.29-2.44
8 Na 0.2124 0.0000 0.5000  4 O 2.31-2.41
9 Na 0.7460 0.2597 0.6915  3 O 2.29-2.44
10 Na 0.7460 0.7403 0.6915  3 O 2.29-2.44
11 Gd 0.7805 0.0000 0.0000  4 O 2.14-2.17
12 Gd 0.2195 0.5000 0.5000  4 O 2.14-2.17
13 O 0.9894 0.0000 0.7648  1 Gd 2.17, 3 Na 2.35-2.41
14 O 0.5681 0.2386 0.0000  1 Gd 2.14, 3 Na 2.29-2.31
15 O 0.5681 0.7614 0.0000  1 Gd 2.14, 3 Na 2.29-2.31
16 O 0.9894 0.0000 0.2352  1 Gd 2.17, 3 Na 2.35-2.41
17 O 0.0106 0.5000 0.2648  1 Gd 2.17, 3 Na 2.35-2.41
18 O 0.4319 0.2614 0.5000  1 Gd 2.14, 3 Na 2.29-2.31
19 O 0.4319 0.7386 0.5000  1 Gd 2.14, 3 Na 2.29-2.31
20 O 0.0106 0.5000 0.7352  1 Gd 2.17, 3 Na 2.35-2.41